# 1
Density functional theory data (GGA-PBE) for a relaxed structure of LiYSi2Ni.

Lattice parameters (Å, degrees): 3.9686 3.9686 5.7246 110.28 110.28 90.00
Last column: nearest neighbours and their distance in Å.
Fractional positions:
Li (0.2500, 0.7500, 0.5000)  4 Si 2.38
Y (0.0000, 0.0000, 0.0000)  8 Si 3.05, 4 Li 3.19, 4 Ni 3.19
Si (0.6191, 0.6191, 0.2381)  2 Li 2.38, 2 Ni 2.38, 1 Si 2.38
Si (0.3809, 0.3809, 0.7619)  2 Li 2.38, 2 Ni 2.38, 1 Si 2.38
Ni (0.7500, 0.2500, 0.5000)  4 Si 2.38

Summary:
Uncorrected formation energy ... -315 kJ/mol of formula units
Crystal system ... tetragonal
Uncorrected energy ... -5.65 eV/atom
Symmetry ... No. 119

# 2
Density functional theory data (GGA-PBE) for a relaxed structure of PrLuCuPb.

Lattice parameters (Å, degrees): 5.2632 5.2632 5.2632 60.00 60.00 60.00
Last column: nearest neighbours and their distance in Å.
Fractional positions:
Pb (0.7500, 0.7500, 0.7500)  4 Pr 3.22, 4 Lu 3.22
Pr (0.5000, 0.5000, 0.5000)  4 Pb 3.22, 4 Cu 3.22
Lu (0.0000, 0.0000, 0.0000)  4 Cu 3.22, 4 Pb 3.22
Cu (0.2500, 0.2500, 0.2500)  4 Pr 3.22, 4 Lu 3.22

Summary:
Crystal system ... cubic
Uncorrected energy ... -4.53 eV/atom
Symmetry ... No. 216

- Which of these has the lowest uncorrected energy?
  LiYSi2Ni